No. 1
# Ga2Ag2H

A relaxed Ga2Ag2H crystal (PBE-GGA, the Alexandria database).

a b c (Å): 5.540 5.540 5.168
angles (deg): 90.00 90.00 90.00
Fractional positions:
Ga1 0.176 0.324 0.000
Ga2 0.324 0.824 0.000
Ga3 0.676 0.176 0.000
Ga4 0.824 0.676 0.000
Ag1 0.181 0.681 0.500
Ag2 0.319 0.181 0.500
Ag3 0.681 0.819 0.500
Ag4 0.819 0.319 0.500
H1 0.000 0.000 0.500
H2 0.500 0.500 0.500

Summary:
final energy = -14.16 eV/f.u.
N(E_F) = 1.672 states/eV/f.u.
calculated density = 7.46 g/cm3


No. 2
# Ga3AgH

A relaxed Ga3AgH crystal (PBE-GGA, the Alexandria database).

a b c (Å): 4.287 4.287 4.287
angles (deg): 90.00 90.00 90.00
Fractional positions:
Ga1 0.000 0.000 0.500
Ga2 0.000 0.500 0.000
Ga3 0.500 0.000 0.000
Ag1 0.500 0.500 0.500
H1 0.000 0.000 0.000

Summary:
final energy = -14.16 eV/f.u.
N(E_F) = 2.092 states/eV/f.u.
calculated density = 6.70 g/cm3


No. 3
# Ga12Ag3H5

A relaxed Ga12Ag3H5 crystal (PBE-GGA, the Alexandria database).

a b c (Å): 11.852 11.852 11.852
angles (deg): 109.47 109.47 109.47
Fractional positions:
Ga1 0.012 0.197 0.105
Ga2 0.012 0.315 0.907
Ga3 0.093 0.605 0.407
Ga4 0.093 0.697 0.685
Ga5 0.093 0.895 0.407
Ga6 0.093 0.988 0.685
Ga7 0.105 0.012 0.197
Ga8 0.105 0.593 0.907
Ga9 0.185 0.197 0.593
Ga10 0.185 0.488 0.593
Ga11 0.197 0.105 0.012
Ga12 0.197 0.593 0.185
Ga13 0.303 0.315 0.907
Ga14 0.303 0.488 0.395
Ga15 0.315 0.907 0.012
Ga16 0.315 0.907 0.303
Ga17 0.395 0.303 0.488
Ga18 0.395 0.593 0.907
Ga19 0.407 0.093 0.605
Ga20 0.407 0.093 0.895
Ga21 0.407 0.815 0.512
Ga22 0.407 0.815 0.803
Ga23 0.488 0.395 0.303
Ga24 0.488 0.593 0.185
Ga25 0.512 0.407 0.815
Ga26 0.512 0.605 0.697
Ga27 0.593 0.185 0.197
Ga28 0.593 0.185 0.488
Ga29 0.593 0.907 0.105
Ga30 0.593 0.907 0.395
Ga31 0.605 0.407 0.093
Ga32 0.605 0.697 0.512
Ga33 0.685 0.093 0.697
Ga34 0.685 0.093 0.988
Ga35 0.697 0.512 0.605
Ga36 0.697 0.685 0.093
Ga37 0.803 0.407 0.815
Ga38 0.803 0.895 0.988
Ga39 0.815 0.512 0.407
Ga40 0.815 0.803 0.407
Ga41 0.895 0.407 0.093
Ga42 0.895 0.988 0.803
Ga43 0.907 0.012 0.315
Ga44 0.907 0.105 0.593
Ga45 0.907 0.303 0.315
Ga46 0.907 0.395 0.593
Ga47 0.988 0.685 0.093
Ga48 0.988 0.803 0.895
Ag1 0.125 0.250 0.375
Ag2 0.125 0.375 0.750
Ag3 0.250 0.375 0.125
Ag4 0.250 0.875 0.625
Ag5 0.375 0.125 0.250
Ag6 0.375 0.750 0.125
Ag7 0.625 0.250 0.875
Ag8 0.625 0.875 0.750
Ag9 0.750 0.125 0.375
Ag10 0.750 0.625 0.875
Ag11 0.875 0.625 0.250
Ag12 0.875 0.750 0.625
H1 0.000 0.000 0.000
H2 0.000 0.000 0.500
H3 0.000 0.500 0.000
H4 0.000 0.500 0.500
H5 0.125 0.750 0.875
H6 0.125 0.875 0.250
H7 0.250 0.125 0.875
H8 0.250 0.625 0.375
H9 0.375 0.250 0.625
H10 0.375 0.625 0.750
H11 0.500 0.000 0.000
H12 0.500 0.000 0.500
H13 0.500 0.500 0.000
H14 0.500 0.500 0.500
H15 0.625 0.375 0.250
H16 0.625 0.750 0.375
H17 0.750 0.375 0.625
H18 0.750 0.875 0.125
H19 0.875 0.125 0.750
H20 0.875 0.250 0.125

Summary:
final energy = -56.72 eV/f.u.
N(E_F) = 9.544 states/eV/f.u.
calculated density = 6.04 g/cm3


No. 4
# Ga2AgH

A relaxed Ga2AgH crystal (PBE-GGA, the Alexandria database).

a b c (Å): 7.039 7.039 7.039
angles (deg): 141.16 141.16 56.10
Fractional positions:
Ga1 0.375 0.246 0.371
Ga2 0.754 0.125 0.129
Ga3 0.875 0.004 0.629
Ga4 0.996 0.625 0.871
Ag1 0.250 0.750 0.500
Ag2 0.500 0.500 0.000
H1 0.000 0.000 0.000
H2 0.750 0.250 0.500

Summary:
final energy = -11.14 eV/f.u.
N(E_F) = 1.115 states/eV/f.u.
calculated density = 6.06 g/cm3


No. 5
# GaAgHIr

A relaxed GaAgHIr crystal (PBE-GGA, the Alexandria database).

a b c (Å): 3.748 5.373 5.373
angles (deg): 31.23 90.00 90.00
Fractional positions:
Ga1 0.000 0.000 0.000
Ag1 0.000 0.727 0.727
H1 0.500 0.556 0.556
Ir1 0.500 0.402 0.402

Summary:
final energy = -17.85 eV/f.u.
N(E_F) = 1.144 states/eV/f.u.
calculated density = 10.98 g/cm3


No. 6
# GaAgHIr

A relaxed GaAgHIr crystal (PBE-GGA, the Alexandria database).

a b c (Å): 2.909 4.153 4.911
angles (deg): 97.60 90.02 90.00
Fractional positions:
Ga1 0.000 0.000 0.000
Ag1 0.999 0.578 0.455
H1 0.498 0.285 0.645
Ir1 0.500 0.492 0.952

Summary:
final energy = -18.37 eV/f.u.
N(E_F) = 1.423 states/eV/f.u.
calculated density = 10.47 g/cm3


Which of these has the lowest N(E_F)?
Ga2AgH